The following is a GGA-PBE calculation of an optimized crystal structure of CdNiW, from Alexandria via LeMat-Bulk.

abc: 4.159 4.159 4.159
angles: 60.00 60.00 60.00
Positions (direct):
Cd1 0.000 0.000 0.000
Ni1 0.750 0.750 0.750
W1 0.500 0.500 0.500

Values from the calculation:
final energy	-5.9123	eV per atom
mass density	11588	kg/m3
relative energy among the computed polymorphs	387.4	meV per atom
density of states at the Fermi level	0.39	states/eV/cell
calculated formation energy	637.6	meV/atom